First-principles (PBE+U) data for Mn2Ru2O7 after structural relaxation, as listed in the Alexandria database.

a = 7.0873 Å, b = 7.0873 Å, c = 7.0873 Å
α = 60.00°, β = 60.00°, γ = 60.00°
Each line ends with the local moment (μB).
Sites, in units of the cell vectors:
O: 0.7957 0.2043 0.2043  -0.09
O: 0.0457 0.4543 0.4543  -0.09
O: 0.2043 0.2043 0.7957  -0.09
O: 0.2043 0.7957 0.7957  -0.09
O: 0.7957 0.2043 0.7957  -0.09
O: 0.2043 0.7957 0.2043  -0.09
O: 0.7500 0.7500 0.7500  -0.15
O: 0.5000 0.5000 0.5000  -0.15
O: 0.0457 0.4543 0.0457  -0.09
O: 0.7957 0.7957 0.2043  -0.09
O: 0.4543 0.4543 0.0457  -0.09
O: 0.4543 0.0457 0.0457  -0.09
O: 0.0457 0.0457 0.4543  -0.09
O: 0.4543 0.0457 0.4543  -0.09
Mn: 0.6250 0.1250 0.6250  4.56
Mn: 0.6250 0.6250 0.1250  4.56
Mn: 0.1250 0.6250 0.6250  4.56
Mn: 0.6250 0.6250 0.6250  4.56
Ru: 0.1250 0.1250 0.1250  -0.74
Ru: 0.6250 0.1250 0.1250  -0.74
Ru: 0.1250 0.1250 0.6250  -0.74
Ru: 0.1250 0.6250 0.1250  -0.74

Results
uncorrected energy = -161.88 eV for the cell shown
SG = Fd-3m (227)